P.
Computed, not measured: an optimized crystal structure of TaBe3Pt at the GGA-PBE level of DFT.

Cell: 4.299 4.299 4.299 Å, 90.00 90.00 90.00°
Space group Pm-3m (No. 221)
Symmetry-distinct sites (fractional):
Ta 0.000 0.000 0.000 x1
Be 0.000 0.000 0.500 x3
Pt 0.500 0.500 0.500 x1

Values from the calculation:
* calculated volume: 15.9 Å³/atom



Q.
Computed, not measured: an optimized crystal structure of TaBe3Pt at the GGA-PBE level of DFT.

Cell: 4.122 4.122 4.122 Å, 90.00 90.00 90.00°
Space group Pm-3m (No. 221)
Symmetry-distinct sites (fractional):
Ta 0.000 0.000 0.000 x1
Be 0.000 0.500 0.500 x3
Pt 0.500 0.500 0.500 x1

Values from the calculation:
* calculated volume: 14.0 Å³/atom



Result of the stability comparison: P is the least stable of them.



P.
Computed, not measured: an optimized crystal structure of TaBe2Pt2 at the GGA-PBE level of DFT.

Cell: 3.384 3.384 12.307 Å, 90.00 90.00 90.00°
Space group I4/mmm (No. 139)
Symmetry-distinct sites (fractional):
Ta 0.000 0.000 0.000 x2
Be 0.000 0.500 0.250 x4
Pt 0.000 0.000 0.388 x4

Values from the calculation:
* calculated volume: 14.1 Å³/atom



Q.
Computed, not measured: an optimized crystal structure of TaBe2Pt2 at the GGA-PBE level of DFT.

Cell: 7.050 7.050 2.723 Å, 90.00 90.00 90.00°
Space group P4/mbm (No. 127)
Symmetry-distinct sites (fractional):
Ta 0.000 0.000 0.000 x2
Be 0.159 0.341 0.500 x4
Pt 0.139 0.639 0.000 x4

Values from the calculation:
* calculated volume: 13.5 Å³/atom



Result of the stability comparison: P is the least stable of them.



P.
Computed, not measured: an optimized crystal structure of TaBePt3 at the GGA-PBE level of DFT.

Cell: 4.252 4.252 4.252 Å, 90.00 90.00 90.00°
Space group Pm-3m (No. 221)
Symmetry-distinct sites (fractional):
Ta 0.000 0.000 0.000 x1
Be 0.500 0.500 0.500 x1
Pt 0.000 0.500 0.500 x3

Values from the calculation:
* calculated volume: 15.4 Å³/atom



Q.
Computed, not measured: an optimized crystal structure of TaBePt3 at the GGA-PBE level of DFT.

Cell: 4.869 4.869 4.869 Å, 90.00 90.00 90.00°
Space group Pm-3m (No. 221)
Symmetry-distinct sites (fractional):
Ta 0.000 0.000 0.000 x1
Be 0.500 0.500 0.500 x1
Pt 0.000 0.000 0.500 x3

Values from the calculation:
* calculated volume: 23.1 Å³/atom



Result of the stability comparison: Q is the least stable of them.



P.
Computed, not measured: an optimized crystal structure of TbBePt6 at the GGA-PBE level of DFT.

Cell: 3.902 3.902 9.086 Å, 90.00 90.00 90.00°
Space group P4/mmm (No. 123)
Symmetry-distinct sites (fractional):
Tb 0.000 0.000 0.000 x1
Be 0.000 0.000 0.500 x1
Pt 0.000 0.500 0.349 x4
Pt 0.500 0.500 0.140 x2

Values from the calculation:
* calculated volume: 17.3 Å³/atom



Q.
Computed, not measured: an optimized crystal structure of TbBePt6 at the GGA-PBE level of DFT.

Cell: 4.035 4.035 7.843 Å, 90.00 90.00 90.00°
Space group P4/mmm (No. 123)
Symmetry-distinct sites (fractional):
Tb 0.000 0.000 0.000 x1
Be 0.000 0.000 0.500 x1
Pt 0.000 0.500 0.275 x4
Pt 0.500 0.500 0.000 x1
Pt 0.500 0.500 0.500 x1

Values from the calculation:
* calculated volume: 16.0 Å³/atom



Result of the stability comparison: P is the least stable of them.



P.
Computed, not measured: an optimized crystal structure of TbBe2Pt2 at the GGA-PBE level of DFT.

Cell: 6.174 5.276 9.730 Å, 90.00 90.00 90.00°
Space group Cmcm (No. 63)
Symmetry-distinct sites (fractional):
Tb 0.000 0.249 0.250 x4
Be 0.249 0.000 0.000 x8
Pt 0.000 0.251 0.610 x8

Values from the calculation:
* calculated volume: 15.8 Å³/atom



Q.
Computed, not measured: an optimized crystal structure of TbBe2Pt2 at the GGA-PBE level of DFT.

Cell: 4.013 4.013 9.561 Å, 90.00 90.00 90.00°
Space group P4/nmm (No. 129, origin choice 2)
Symmetry-distinct sites (fractional):
Tb 0.250 0.250 0.249 x2
Be 0.250 0.250 0.626 x2
Be 0.250 0.750 0.000 x2
Pt 0.250 0.250 0.873 x2
Pt 0.250 0.750 0.500 x2

Values from the calculation:
* calculated volume: 15.4 Å³/atom



Result of the stability comparison: P is the least stable of them.



P.
Computed, not measured: an optimized crystal structure of BeTcPt at the GGA-PBE level of DFT.

Cell: 2.7265 2.7265 6.1627 Å, 90.00 90.00 120.00°
Space group P3m1 (No. 156)
Symmetry-distinct sites (fractional):
Be 0.0000 0.0000 0.0000 x1
Tc 0.3333 0.6667 0.6798 x1
Pt 0.6667 0.3333 0.3034 x1

Values from the calculation:
* calculated volume: 13.2 Å³/atom



Q.
Computed, not measured: an optimized crystal structure of BeTcPt at the GGA-PBE level of DFT.

Cell: 4.1229 4.1229 2.6730 Å, 90.00 90.00 120.00°
Space group P-6m2 (No. 187)
Symmetry-distinct sites (fractional):
Be 0.0000 0.0000 0.0000 x1
Tc 0.3333 0.6667 0.5000 x1
Pt 0.6667 0.3333 0.0000 x1

Values from the calculation:
* calculated volume: 13.1 Å³/atom



Result of the stability comparison: P is the least stable of them.



P.
Computed, not measured: an optimized crystal structure of BeTcPt at the GGA-PBE level of DFT.

Cell: 5.511 5.511 5.511 Å, 90.00 90.00 90.00°
Space group F-43m (No. 216)
Symmetry-distinct sites (fractional):
Be 0.000 0.000 0.000 x4
Tc 0.250 0.250 0.750 x4
Pt 0.250 0.250 0.250 x4

Values from the calculation:
* calculated volume: 14.0 Å³/atom



Q.
Computed, not measured: an optimized crystal structure of BeTcPt at the GGA-PBE level of DFT.

Cell: 2.768 2.768 9.860 Å, 90.00 90.00 90.00°
Space group I4mm (No. 107)
Symmetry-distinct sites (fractional):
Be 0.000 0.000 0.000 x2
Tc 0.000 0.000 0.346 x2
Pt 0.000 0.000 0.642 x2

Values from the calculation:
* calculated volume: 12.6 Å³/atom



Result of the stability comparison: P is the least stable of them.



P.
Computed, not measured: an optimized crystal structure of BeTePt2 at the GGA-PBE level of DFT.

Cell: 6.445 6.445 6.445 Å, 90.00 90.00 90.00°
Space group F-43m (No. 216)
Symmetry-distinct sites (fractional):
Be 0.000 0.000 0.000 x4
Te 0.250 0.250 0.750 x4
Pt 0.000 0.000 0.500 x4
Pt 0.250 0.250 0.250 x4

Values from the calculation:
* calculated volume: 16.7 Å³/atom



Q.
Computed, not measured: an optimized crystal structure of BeTePt2 at the GGA-PBE level of DFT.

Cell: 3.6859 3.6859 17.3319 Å, 90.00 90.00 120.00°
Space group R-3m (No. 166, hexagonal axes)
Symmetry-distinct sites (fractional):
Be 0.0000 0.0000 0.0000 x3
Te 0.0000 0.0000 0.5000 x3
Pt 0.0000 0.0000 0.2782 x6

Values from the calculation:
* calculated volume: 17.0 Å³/atom



R.
Computed, not measured: an optimized crystal structure of BeTePt2 at the GGA-PBE level of DFT.

Cell: 4.873 4.873 13.348 Å, 90.00 90.00 90.00°
Space group I-42d (No. 122)
Symmetry-distinct sites (fractional):
Be 0.000 0.000 0.000 x4
Te 0.000 0.000 0.500 x4
Pt 0.167 0.250 0.125 x8

Values from the calculation:
* calculated volume: 19.8 Å³/atom



S.
Computed, not measured: an optimized crystal structure of BeTePt2 at the GGA-PBE level of DFT.

Cell: 2.948 2.948 7.385 Å, 90.00 90.00 90.00°
Space group P4/mmm (No. 123)
Symmetry-distinct sites (fractional):
Be 0.000 0.000 0.000 x1
Te 0.000 0.000 0.500 x1
Pt 0.500 0.500 0.187 x2

Values from the calculation:
* calculated volume: 16.0 Å³/atom



Result of the stability comparison: P is the least stable of them.